DFT (GGA+U) results for a relaxed structure of NaCeMoO6.

Cell: 5.502 5.502 4.848 Å, 90.00 90.00 120.00°
Atoms (fractional coordinates):
Na1 0.000 0.000 0.000
Ce1 0.667 0.333 0.500
Mo1 0.333 0.667 0.000
O1 0.029 0.394 0.229
O2 0.029 0.636 0.771
O3 0.364 0.394 0.771
O4 0.364 0.971 0.229
O5 0.606 0.636 0.229
O6 0.606 0.971 0.771

Summary:
**Total moment**: 1.0 μB per formula unit
**Symmetry**: No. 149
**D(E_F)**: 6.33 states/eV/f.u.
**E_tot**: -61.86 eV for the cell shown